Computed, not measured: a geometry-optimized RbMnI3 structure at the PBE level of DFT.

Results
Raw formation energy: -77.8 kJ per mole of atoms
Spin magnetization: 5.0 μB/cell
Symmetry: P4mm, No. 99

Structure (CIF):
```
data_RbMnI3
_cell_length_a 5.5817
_cell_length_b 5.5817
_cell_length_c 6.9084
_cell_angle_alpha 90.00
_cell_angle_beta 90.00
_cell_angle_gamma 90.00
_space_group_name_H-M_alt 'P 1'
_space_group_IT_number 1
loop_
_space_group_symop_operation_xyz
'x,y,z'
loop_
_atom_site_label
_atom_site_fract_x
_atom_site_fract_y
_atom_site_fract_z
Rb1 0.0000 0.0000 0.0000
Mn1 0.5000 0.5000 0.5032
I1 0.0000 0.5000 0.6135
I2 0.5000 0.0000 0.6135
I3 0.5000 0.5000 0.1149
```